Record 1
Below is a geometry-optimized NaCeTlGa structure, with properties calculated at the PBE level.

Structure (CIF):
```
data_NaCeTlGa
_chemical_formula_sum 'Na4 Ce4 Tl4 Ga4'
_space_group_name_H-M_alt 'F -4 3 m'
_space_group_IT_number 216
_space_group_name_Hall 'F -4 2 3'
_cell_length_a 7.431
_cell_length_b 7.431
_cell_length_c 7.431
_cell_angle_alpha 90.00
_cell_angle_beta 90.00
_cell_angle_gamma 90.00
loop_
_atom_site_label
_atom_site_fract_x
_atom_site_fract_y
_atom_site_fract_z
_atom_site_occupancy
Na1 0.000 0.000 0.000 1
Ce1 0.000 0.000 0.500 1
Tl1 0.250 0.250 0.750 1
Ga1 0.250 0.250 0.250 1
```

Values from the calculation:
D(E_F)   26.56 states/eV per cell
ΔE_f   -0.195 eV/atom
Total moment   0.90 μB/f.u.

***

Record 2
Below is a geometry-optimized CeNbGa4 structure, with properties calculated at the PBE level.

Structure (CIF):
```
data_CeNbGa4
_chemical_formula_sum 'Ce4 Nb4 Ga16'
_space_group_name_H-M_alt 'C m c m'
_space_group_IT_number 63
_space_group_name_Hall '-C 2c 2'
_cell_length_a 4.184
_cell_length_b 17.520
_cell_length_c 6.317
_cell_angle_alpha 90.00
_cell_angle_beta 90.00
_cell_angle_gamma 90.00
loop_
_atom_site_label
_atom_site_fract_x
_atom_site_fract_y
_atom_site_fract_z
_atom_site_occupancy
Ce1 0.000 0.099 0.250 1
Nb1 0.000 0.231 0.750 1
Ga1 0.000 0.074 0.750 1
Ga2 0.000 0.339 0.044 1
Ga3 0.000 0.500 0.000 1
```

Values from the calculation:
D(E_F)   20.49 states/eV per cell
ΔE_f   -0.385 eV/atom
Energy relative to the lowest polymorph listed for this composition   0.0000 eV/atom
Total moment   0.00 μB/f.u.

***

- The lowest D(E_F) belongs to which entry?
  CeNbGa4